DFT (PBE-GGA) results for a geometry-optimized KY2Pt structure.

Cell: 7.510 7.510 7.510 Å, 90.00 90.00 90.00°
Atoms (fractional coordinates):
1 K 0.000 0.000 0.000
2 K 0.000 0.500 0.500
3 K 0.500 0.000 0.500
4 K 0.500 0.500 0.000
5 Y 0.000 0.000 0.500
6 Y 0.000 0.500 0.000
7 Y 0.250 0.250 0.250
8 Y 0.250 0.750 0.750
9 Y 0.500 0.000 0.000
10 Y 0.500 0.500 0.500
11 Y 0.750 0.250 0.750
12 Y 0.750 0.750 0.250
13 Pt 0.250 0.250 0.750
14 Pt 0.250 0.750 0.250
15 Pt 0.750 0.250 0.250
16 Pt 0.750 0.750 0.750

Results
* SG: F-43m (216)
* energy relative to the elements: 296 meV per atom
* total moment: 0.0 μB/f.u.
* relative energy among the computed polymorphs: 3.136 eV per formula unit